(1)
Computed, not measured: a relaxed Li2HoTm2Tl2 crystal at the PBE level of DFT.

Cell: 4.792 4.792 9.248 Å, 74.98 74.98 60.00°
Positions (direct):
Li: 0.601 0.601 0.196
Li: 0.399 0.399 0.804
Tm: 0.872 0.872 0.383
Tm: 0.128 0.128 0.617
Tl: 0.739 0.739 0.784
Tl: 0.261 0.261 0.216
Ho: 0.000 0.000 0.000

Calculated values
Uncorrected energy   -3.313 eV/atom
Total magnetic moment   0.000 μB per atom
SG   R-3m (166)
Formation energy   -0.159 eV per atom

---

(2)
Computed, not measured: a relaxed AlTlSbI2 crystal at the PBE level of DFT.

Cell: 5.736 5.736 5.392 Å, 90.00 90.00 90.00°
Positions (direct):
I: 0.000 0.500 0.000
I: 0.500 0.000 0.000
Sb: 0.000 0.000 0.500
Tl: 0.500 0.500 0.500
Al: 0.000 0.000 0.000

Calculated values
Uncorrected energy   -2.715 eV/atom
Total magnetic moment   0.000 μB per atom
SG   P4/mmm (123)
Excess energy over the best structure of this formula in the dataset   0 meV per atom

---

Question: Which value of uncorrected energy does entry 1 give?
Answer: -3.313 eV/atom